First-principles (PBE) data for K2TiSbS4 after structural relaxation, as listed in Alexandria.

Summary:
uncorrected formation energy = -0.9572 eV/atom
magnetic moment = 1.0 Bohr magnetons per cell
calculated volume = 29.3 Å³ per atom
VASP energy = -4.797 eV/atom
space group = I-4

a = 6.7258 Å, b = 6.7258 Å, c = 6.7258 Å
α = 107.61°, β = 110.41°, γ = 110.41°
Last column: magnetic moment on the atom in μB.
Element x y z (fractional)
K (0.0000, 0.0000, 0.0000)  0.00
Ti (0.0000, 0.5000, 0.5000)  0.13
S (0.6523, 0.4645, 0.5075)  0.02
S (0.9570, 0.4925, 0.1448)  0.02
S (0.3477, 0.8552, 0.8122)  0.02
Sb (0.5000, 0.2500, 0.7500)  0.25
K (0.5000, 0.7500, 0.2500)  0.01
S (0.0430, 0.1878, 0.5355)  0.02

First-principles (PBE) data for Cs3Pa2Te6 after structural relaxation, as listed in Alexandria.

Summary:
uncorrected formation energy = -0.9128 eV/atom
magnetic moment = 1.1 Bohr magnetons per cell
calculated volume = 50.1 Å³ per atom
VASP energy = -4.586 eV/atom
space group = I4/mmm

a = 5.8971 Å, b = 5.8971 Å, c = 16.3720 Å
α = 100.38°, β = 100.38°, γ = 90.00°
Last column: magnetic moment on the atom in μB.
Element x y z (fractional)
Cs (0.8178, 0.8178, 0.6355)  0.00
Pa (0.6034, 0.6034, 0.2067)  0.59
Cs (0.0000, 0.0000, 0.0000)  0.00
Te (0.9155, 0.4155, 0.8310)  -0.03
Pa (0.3966, 0.3966, 0.7933)  0.59
Cs (0.1822, 0.1822, 0.3645)  0.00
Te (0.6928, 0.6928, 0.3856)  -0.02
Te (0.5845, 0.0845, 0.1690)  -0.03
Te (0.4155, 0.9155, 0.8310)  -0.03
Te (0.3072, 0.3072, 0.6144)  -0.02
Te (0.0845, 0.5845, 0.1690)  -0.03

First-principles (PBE) data for InMoPb2S after structural relaxation, as listed in Alexandria.

Summary:
uncorrected formation energy = 0.4903 eV/atom
magnetic moment = 1.9 Bohr magnetons per cell
calculated volume = 28.9 Å³ per atom
VASP energy = -4.532 eV/atom
space group = P4/mmm

a = 5.6702 Å, b = 4.4990 Å, c = 5.6702 Å
α = 90.00°, β = 90.00°, γ = 90.00°
Last column: magnetic moment on the atom in μB.
Element x y z (fractional)
Pb (0.5000, 0.0000, 0.0000)  -0.03
Mo (0.0000, 0.5000, 0.0000)  1.70
In (0.5000, 0.5000, 0.5000)  -0.01
Pb (0.0000, 0.0000, 0.5000)  -0.01
S (0.0000, 0.0000, 0.0000)  -0.04

First-principles (PBE) data for VPdRu3 after structural relaxation, as listed in Alexandria.

Summary:
magnetic moment = 6.3 Bohr magnetons per cell
calculated volume = 20.5 Å³ per atom
ΔE_f = 2.149 eV per atom
VASP energy = -6.279 eV/atom
space group = Pm-3m

a = 4.6788 Å, b = 4.6788 Å, c = 4.6788 Å
α = 90.00°, β = 90.00°, γ = 90.00°
Last column: magnetic moment on the atom in μB.
Element x y z (fractional)
Ru (0.5000, 0.0000, 0.0000)  0.93
Pd (0.0000, 0.0000, 0.0000)  0.54
Ru (0.0000, 0.0000, 0.5000)  0.93
Ru (0.0000, 0.5000, 0.0000)  0.93
V (0.5000, 0.5000, 0.5000)  2.38

First-principles (PBE) data for Ca2BeTl after structural relaxation, as listed in Alexandria.

Summary:
magnetic moment = 0.0 Bohr magnetons per cell
calculated volume = 29.3 Å³ per atom
ΔE_f = 0.329 eV per atom
VASP energy = -2.195 eV/atom
space group = I-42d

a = 8.2670 Å, b = 8.2670 Å, c = 6.7778 Å
α = 52.42°, β = 52.42°, γ = 90.00°
Element x y z (fractional)
Be (0.5000, 0.5000, 0.0000)
Ca (0.5899, 0.1250, 0.2500)
Tl (0.7500, 0.2500, 0.5000)
Ca (0.3750, 0.4101, 0.7500)
Ca (0.1601, 0.6250, 0.2500)
Tl (0.0000, 0.0000, 0.0000)
Ca (0.8750, 0.8399, 0.7500)
Be (0.2500, 0.7500, 0.5000)

First-principles (PBE) data for GaAsRuBr2 after structural relaxation, as listed in Alexandria.

Summary:
uncorrected formation energy = 0.9369 eV/atom
magnetic moment = 3.8 Bohr magnetons per cell
calculated volume = 26.4 Å³ per atom
VASP energy = -3.123 eV/atom
space group = P4/mmm

a = 5.0948 Å, b = 5.0948 Å, c = 5.0873 Å
α = 90.00°, β = 90.00°, γ = 90.00°
Last column: magnetic moment on the atom in μB.
Element x y z (fractional)
Br (0.5000, 0.0000, 0.0000)  0.10
Ga (0.0000, 0.0000, 0.0000)  0.00
As (0.0000, 0.0000, 0.5000)  0.18
Ru (0.5000, 0.5000, 0.5000)  2.80
Br (0.0000, 0.5000, 0.0000)  0.10

First-principles (PBE) data for Pr7Dy2Er3 after structural relaxation, as listed in Alexandria.

Summary:
magnetic moment = 0.0 Bohr magnetons per cell
calculated volume = 34.2 Å³ per atom
ΔE_f = 0.094 eV per atom
VASP energy = -4.602 eV/atom
space group = P2/m

a = 3.6387 Å, b = 5.9068 Å, c = 19.1689 Å
α = 94.02°, β = 90.00°, γ = 90.00°
Element x y z (fractional)
Er (0.0000, 0.2165, 0.3677)
Dy (0.5000, 0.2950, 0.7012)
Pr (0.5000, 0.7417, 0.4656)
Pr (0.5000, 0.1746, 0.1850)
Pr (0.5000, 0.2583, 0.5344)
Pr (0.0000, 0.6709, 0.1457)
Er (0.0000, 0.7835, 0.6323)
Pr (0.5000, 0.8254, 0.8150)
Pr (0.0000, 0.0000, 0.0000)
Er (0.5000, 0.5000, 0.0000)
Dy (0.5000, 0.7050, 0.2988)
Pr (0.0000, 0.3291, 0.8543)

First-principles (PBE) data for Ba4AsI2Br after structural relaxation, as listed in Alexandria.

Summary:
uncorrected formation energy = -1.4693 eV/atom
magnetic moment = 0.0 Bohr magnetons per cell
calculated volume = 41.4 Å³ per atom
VASP energy = -3.609 eV/atom
space group = P2/m

a = 4.8258 Å, b = 8.3398 Å, c = 8.6847 Å
α = 108.70°, β = 90.00°, γ = 90.00°
Element x y z (fractional)
As (0.5000, 0.5000, 0.0000)
Ba (0.0000, 0.2761, 0.7865)
Ba (0.5000, 0.7426, 0.7777)
I (0.0000, 0.5000, 0.5000)
Ba (0.0000, 0.7239, 0.2135)
I (0.5000, 0.0000, 0.5000)
Ba (0.5000, 0.2574, 0.2223)
Br (0.0000, 0.0000, 0.0000)